1.
11
Lattice="4.705 0.000 0.000 0.000 4.705 0.000 -2.353 -2.353 16.541" Properties=species:S:1:pos:R:3 comment="Tb6Dy3Ho2 (PBE, relaxed)" ef_mev_per_atom=288.6 final_energy_ev_per_atom=-4.32 n_ef_per_ev_atom=1.50 relative_energy_mev_per_atom=272 vol_a3_per_atom=33.29 pbc="T T T"
Dy 0.000 0.000 0.000
Dy 2.353 2.353 9.932
Dy 0.000 0.000 6.608
Tb 0.000 0.000 10.026
Tb 2.353 0.000 12.544
Tb 0.000 2.353 3.996
Tb 0.000 2.353 12.544
Tb 2.353 2.353 6.515
Tb 2.353 0.000 3.996
Ho 2.353 2.353 1.514
Ho 0.000 0.000 15.026

2.
10
Lattice="-7.364 3.502 4.464 -4.773 0.130 -7.976 -1.214 -3.410 0.671" Properties=species:S:1:pos:R:3 comment="Tb2Dy2Ho (PBE, relaxed)" ef_mev_per_atom=95.8 final_energy_ev_per_atom=-4.51 n_ef_per_ev_atom=0.87 relative_energy_mev_per_atom=0 vol_a3_per_atom=31.81 pbc="T T T"
Dy -3.354 1.324 0.657
Dy -8.783 2.307 -4.169
Dy -3.924 0.525 -4.433
Dy -8.214 3.107 0.921
Ho -6.069 1.816 -1.756
Ho 0.000 0.000 0.000
Tb -6.971 -0.450 -4.803
Tb -3.440 -1.059 -1.509
Tb -9.911 1.281 -1.331
Tb -6.380 0.672 1.963

3.
16
Lattice="-1.117 2.985 -3.847 -6.518 -2.750 -0.241 -4.523 9.930 9.018" Properties=species:S:1:pos:R:3 comment="Tb2Dy5Ho (PBE, relaxed)" ef_mev_per_atom=14.8 final_energy_ev_per_atom=-4.59 n_ef_per_ev_atom=1.17 relative_energy_mev_per_atom=0 vol_a3_per_atom=31.28 pbc="T T T"
Dy -6.144 9.495 5.907
Dy -3.885 4.528 1.398
Dy -6.013 0.671 -0.977
Dy -9.907 4.698 6.521
Dy -4.391 1.106 2.133
Dy -5.520 3.590 4.388
Dy -6.649 6.075 6.644
Dy -8.272 5.637 3.532
Dy 0.000 0.000 0.000
Dy -1.133 2.483 2.255
Tb -7.145 3.155 1.279
Tb -9.404 8.122 5.788
Tb -5.012 7.010 3.651
Tb -2.754 2.044 -0.858
Ho -3.259 -1.375 -0.120
Ho -2.261 4.965 4.509

4.
20
Lattice="-1.845 4.577 0.919 -3.064 -0.442 -3.951 -17.607 -10.064 14.778" Properties=species:S:1:pos:R:3 comment="Tb15Dy4Ho (PBE, relaxed)" ef_mev_per_atom=16.6 final_energy_ev_per_atom=-4.61 n_ef_per_ev_atom=1.32 vol_a3_per_atom=31.61 pbc="T T T"
Tb -13.017 -3.970 7.349
Tb -3.290 -1.226 -0.500
Tb -5.975 0.055 1.439
Tb -6.206 -0.732 4.894
Tb -2.455 2.067 -1.516
Tb -9.499 -1.959 4.396
Tb -13.855 -7.265 8.368
Tb -17.380 -9.280 11.326
Tb -16.541 -5.984 10.306
Tb -10.335 -5.253 5.413
Tb -2.681 1.283 1.935
Tb -9.726 -2.744 7.848
Tb -16.771 -6.771 13.761
Tb -6.816 -3.241 2.459
Tb -13.246 -4.756 10.803
Dy -14.086 -8.051 11.822
Dy -3.521 -2.013 2.956
Dy -7.044 -4.026 5.912
Dy -10.563 -6.038 8.866
Ho 0.000 0.000 0.000

5.
16
Lattice="5.006 0.000 0.000 0.000 7.094 0.000 0.000 0.000 14.187" Properties=species:S:1:pos:R:3 comment="Tb5Dy2Ho (PBE, relaxed)" ef_mev_per_atom=14.2 final_energy_ev_per_atom=-4.60 n_ef_per_ev_atom=1.17 relative_energy_mev_per_atom=0 vol_a3_per_atom=31.49 pbc="T T T"
Tb 0.000 0.000 0.000
Tb 0.000 3.546 10.644
Tb 2.503 1.773 5.321
Tb 2.503 1.774 12.415
Tb 0.000 3.547 7.094
Tb 0.000 3.548 3.543
Tb 0.000 7.094 10.637
Tb 2.503 5.320 1.772
Tb 0.000 0.001 3.550
Tb 2.503 5.321 8.866
Dy 2.503 1.774 1.769
Dy 2.503 1.773 8.863
Dy 2.503 5.321 5.324
Dy 2.503 5.320 12.418
Ho 0.000 0.000 7.094
Ho 0.000 3.547 0.000

6.
12
Lattice="6.816 -0.391 1.823 -5.146 7.407 -6.589 4.034 -3.858 11.447" Properties=species:S:1:pos:R:3 comment="Tb4Dy3Ho5 (PBE, relaxed)" ef_mev_per_atom=16.9 final_energy_ev_per_atom=-4.58 n_ef_per_ev_atom=1.26 relative_energy_mev_per_atom=0 vol_a3_per_atom=31.14 pbc="T T T"
Ho -0.872 3.607 -2.839
Ho 5.425 -2.125 6.635
Ho 2.200 1.588 5.757
Ho 6.576 -0.449 9.520
Ho 3.504 1.569 0.924
Tb 0.095 1.767 0.016
Tb 1.054 -0.088 2.871
Tb 4.650 3.246 3.811
Tb 5.609 1.391 6.666
Dy 2.017 -1.929 5.724
Dy 1.246 3.441 2.901
Dy 4.458 -0.284 3.780

7.
9
Lattice="-3.466 -2.426 -2.641 6.885 -3.766 -0.867 -10.178 4.065 9.623" Properties=species:S:1:pos:R:3 comment="Tb2Dy3Ho4 (PBE, relaxed)" ef_mev_per_atom=16.8 final_energy_ev_per_atom=-4.58 n_ef_per_ev_atom=1.24 relative_energy_mev_per_atom=0 vol_a3_per_atom=31.12 pbc="T T T"
Ho -4.510 -2.379 3.395
Ho -2.249 0.251 2.720
Ho -6.745 0.749 8.164
Ho -0.013 -2.877 -2.049
Dy 0.000 0.000 0.000
Dy -7.949 0.947 4.853
Dy 1.191 -3.075 1.262
Tb -4.494 0.493 5.445
Tb -2.265 -2.620 0.670

8.
11
Lattice="3.592 -0.531 -0.036 -2.397 8.870 -3.589 1.593 -2.433 12.262" Properties=species:S:1:pos:R:3 comment="Tb4Dy2Ho5 (PBE, relaxed)" ef_mev_per_atom=59.2 final_energy_ev_per_atom=-4.54 n_ef_per_ev_atom=1.52 relative_energy_mev_per_atom=0 vol_a3_per_atom=31.55 pbc="T T T"
Tb 0.410 2.820 -0.602
Tb 2.234 2.543 2.658
Tb 0.554 3.364 5.979
Tb 2.379 3.086 9.239
Ho 3.594 -0.707 2.723
Ho 1.796 -0.265 -0.018
Ho -0.805 6.613 5.914
Ho 0.887 5.827 3.115
Ho 1.901 0.080 5.523
Dy 3.765 0.101 8.435
Dy -0.977 5.805 0.202

9.
13
Lattice="-5.367 2.274 3.189 -2.224 -4.984 6.732 2.026 5.300 6.551" Properties=species:S:1:pos:R:3 comment="Tb7Dy5Ho (PBE, relaxed)" ef_mev_per_atom=255.5 final_energy_ev_per_atom=-4.36 n_ef_per_ev_atom=1.82 vol_a3_per_atom=32.73 pbc="T T T"
Tb -3.170 1.442 7.481
Tb -1.491 0.685 3.924
Tb -1.486 4.721 7.976
Tb -4.285 -2.053 8.096
Tb -1.584 0.841 10.577
Tb -0.926 -1.566 6.480
Tb 0.530 1.957 6.418
Dy 0.911 2.418 3.023
Dy -1.024 -2.264 3.106
Dy -1.963 3.636 4.731
Dy -3.898 -1.046 4.814
Dy -4.274 1.981 12.159
Ho -5.168 2.199 3.577

10.
7
Lattice="3.480 0.000 0.000 0.000 8.442 -0.749 -1.740 -3.538 7.887" Properties=species:S:1:pos:R:3 comment="Tb2Dy2Ho3 (PBE, relaxed)" ef_mev_per_atom=116.7 final_energy_ev_per_atom=-4.48 n_ef_per_ev_atom=1.54 relative_energy_mev_per_atom=99 vol_a3_per_atom=31.78 pbc="T T T"
Dy 0.000 1.716 2.080
Dy 1.740 3.188 5.058
Tb 0.000 -2.303 6.784
Tb 1.740 7.207 0.355
Ho 0.000 4.221 -0.374
Ho 1.740 -0.364 4.396
Ho 0.000 5.269 2.742

11.
20
Lattice="-5.078 1.915 2.902 -3.708 -10.236 0.264 6.102 3.744 8.207" Properties=species:S:1:pos:R:3 comment="Tb3DyHo6 (PBE, relaxed)" ef_mev_per_atom=149.0 final_energy_ev_per_atom=-4.45 n_ef_per_ev_atom=1.43 relative_energy_mev_per_atom=27 vol_a3_per_atom=31.70 pbc="T T T"
Ho -4.658 -6.142 7.175
Ho -1.459 -0.498 4.767
Ho 0.951 -4.900 5.362
Ho -1.659 -6.021 2.916
Ho 0.818 2.001 4.858
Ho -5.361 -8.785 1.843
Ho 0.076 1.028 7.828
Ho 0.991 4.843 10.493
Ho -0.671 -2.635 7.555
Ho 2.006 -1.222 9.063
Ho -5.846 -2.920 2.970
Ho 0.163 -2.763 2.573
Tb -1.803 -2.016 10.675
Tb 1.921 -1.581 5.307
Tb -1.416 -6.040 7.482
Tb -3.379 2.259 5.097
Tb -2.770 -3.689 5.017
Tb -2.992 -1.765 1.904
Dy -4.956 -6.115 3.775
Dy 3.342 1.134 6.986

12.
11
Lattice="7.513 0.000 0.000 0.000 7.513 0.000 -3.756 -3.756 6.588" Properties=species:S:1:pos:R:3 comment="Tb4Dy6Ho (PBE, relaxed)" ef_mev_per_atom=437.5 final_energy_ev_per_atom=-4.17 n_ef_per_ev_atom=1.11 relative_energy_mev_per_atom=309 vol_a3_per_atom=33.80 pbc="T T T"
Dy 5.526 1.987 2.449
Dy 1.769 1.769 4.139
Dy -1.769 -1.769 4.139
Dy 1.987 5.526 2.449
Dy 3.756 0.000 0.000
Dy 0.000 3.756 0.000
Tb 2.491 -2.491 5.562
Tb 1.266 1.266 1.026
Tb 6.247 6.247 1.026
Tb -2.491 2.491 5.562
Ho 3.756 3.756 0.000

13.
12
Lattice="5.846 0.000 0.000 2.923 7.541 -2.676 2.923 -0.900 9.065" Properties=species:S:1:pos:R:3 comment="Tb5Dy4Ho3 (PBE, relaxed)" ef_mev_per_atom=238.7 final_energy_ev_per_atom=-4.37 n_ef_per_ev_atom=1.63 relative_energy_mev_per_atom=223 vol_a3_per_atom=32.13 pbc="T T T"
Tb 2.923 0.213 1.683
Tb 8.769 3.274 6.590
Tb 5.846 3.321 3.195
Tb 2.923 3.367 -0.201
Tb 8.769 6.428 4.706
Ho 2.923 3.321 3.195
Ho 5.846 4.943 0.604
Ho 5.846 1.699 5.785
Dy 5.846 1.617 -0.049
Dy 5.846 5.025 6.438
Dy 8.769 6.826 0.888
Dy 2.923 -0.185 5.502

14.
29
Lattice="10.101 0.000 -3.571 -5.051 8.748 -3.571 0.000 0.000 10.714" Properties=species:S:1:pos:R:3 comment="Tb6Dy19Ho4 (PBE, relaxed)" ef_mev_per_atom=381.5 final_energy_ev_per_atom=-4.22 n_ef_per_ev_atom=1.43 vol_a3_per_atom=32.65 pbc="T T T"
Dy -0.687 6.857 6.566
Dy 6.372 2.990 -3.892
Dy -3.742 6.481 5.292
Dy 7.484 0.000 5.292
Dy 4.326 4.023 3.251
Dy 0.000 0.000 0.000
Dy 3.505 5.758 0.162
Dy 4.454 1.735 -0.321
Dy 3.742 6.481 -5.292
Dy 2.957 8.591 -2.837
Dy 1.231 5.915 2.995
Dy 3.362 0.157 7.305
Dy 2.618 0.000 1.851
Dy -0.544 4.724 -0.576
Dy 0.911 1.891 4.306
Dy -1.309 2.267 1.851
Dy 1.309 2.267 -1.851
Dy -3.868 7.013 0.735
Dy 8.285 2.833 3.734
Tb 6.939 3.270 0.901
Tb 0.637 7.644 -0.901
Tb 4.413 1.104 4.472
Tb 3.800 4.374 -2.670
Tb -1.888 5.478 2.670
Tb 1.251 4.374 6.242
Ho 0.000 0.000 6.872
Ho 6.479 0.000 -2.291
Ho 1.811 3.137 1.281
Ho -3.239 5.611 -2.291

15.
15
Lattice="6.723 -0.092 -0.133 -3.220 8.543 1.152 -3.220 -1.886 8.412" Properties=species:S:1:pos:R:3 comment="Tb8Dy3Ho4 (PBE, relaxed)" ef_mev_per_atom=399.9 final_energy_ev_per_atom=-4.21 n_ef_per_ev_atom=1.93 relative_energy_mev_per_atom=250 vol_a3_per_atom=32.74 pbc="T T T"
Dy 1.751 -0.989 4.140
Dy 0.141 3.283 4.716
Dy 1.751 4.225 0.510
Tb -3.220 1.834 5.823
Tb -1.666 1.770 2.543
Tb -3.220 4.824 3.741
Tb 1.949 4.795 6.888
Tb 0.141 5.869 2.915
Tb -1.571 4.830 6.938
Tb 0.141 0.696 6.516
Tb 1.854 1.736 2.493
Ho -1.610 -0.943 4.206
Ho 0.000 0.000 0.000
Ho -1.610 4.272 0.576
Ho 3.361 -0.046 -0.066

16.
11
Lattice="3.466 0.000 0.000 0.000 10.965 -4.231 -1.733 -19.672 16.900" Properties=species:S:1:pos:R:3 comment="Tb4Dy2Ho5 (PBE, relaxed)" ef_mev_per_atom=158.2 final_energy_ev_per_atom=-4.44 n_ef_per_ev_atom=1.68 relative_energy_mev_per_atom=99 vol_a3_per_atom=32.16 pbc="T T T"
Ho 0.000 -5.862 6.629
Ho 1.733 -2.845 6.040
Ho 1.733 -11.727 12.920
Ho 1.733 0.000 0.000
Ho 0.000 3.020 -0.251
Dy 0.000 -10.754 9.820
Dy 1.733 2.047 2.849
Tb 0.000 -7.214 9.706
Tb 1.733 -15.270 13.396
Tb 0.000 6.563 -0.727
Tb 1.733 -1.493 2.963

17.
14
Lattice="-1.454 -4.307 3.941 -0.207 -4.381 -4.864 11.552 0.009 -0.499" Properties=species:S:1:pos:R:3 comment="TbDy4Ho2 (PBE, relaxed)" ef_mev_per_atom=138.1 final_energy_ev_per_atom=-4.46 n_ef_per_ev_atom=1.71 relative_energy_mev_per_atom=101 vol_a3_per_atom=31.33 pbc="T T T"
Dy 7.483 -5.905 -3.779
Dy 5.299 -4.764 1.862
Dy 7.585 -3.753 -1.390
Dy 2.408 -2.774 2.358
Dy 1.744 -1.112 -1.277
Dy 8.147 -7.567 -0.144
Dy 2.306 -4.926 -0.032
Dy 4.592 -3.915 -3.283
Ho 10.882 -2.793 -0.151
Ho -0.991 -5.886 -1.270
Ho 4.635 -2.329 -0.303
Ho 5.256 -6.350 -1.118
Tb 8.614 -4.678 1.643
Tb 1.277 -4.001 -3.064

18.
18
Lattice="-3.392 -3.515 1.012 4.495 -6.388 -7.126 6.318 -3.933 7.511" Properties=species:S:1:pos:R:3 comment="Tb2DyHo6 (PBE, relaxed)" ef_mev_per_atom=19.6 final_energy_ev_per_atom=-4.57 n_ef_per_ev_atom=1.23 relative_energy_mev_per_atom=0 vol_a3_per_atom=30.98 pbc="T T T"
Tb 6.763 -5.407 3.882
Tb 6.263 -9.704 -0.426
Tb 1.158 -4.132 1.823
Tb 0.659 -8.429 -2.485
Ho 3.267 -5.447 4.323
Ho 5.367 -6.752 6.827
Ho 2.054 -7.084 -5.431
Ho 2.550 -2.783 -1.121
Ho 4.656 -4.096 1.376
Ho 2.660 -6.265 -0.553
Ho 6.369 -13.181 0.147
Ho 2.765 -9.740 0.021
Ho 4.761 -7.571 1.949
Ho 4.154 -8.390 -2.927
Ho 4.871 -11.053 2.518
Ho 1.052 -0.655 1.249
Dy 0.552 -4.952 -3.057
Dy 3.159 -1.967 3.755

19.
15
Lattice="6.702 -0.107 -0.154 -3.186 8.546 1.152 -3.186 -1.886 8.414" Properties=species:S:1:pos:R:3 comment="Tb3Dy8Ho4 (PBE, relaxed)" ef_mev_per_atom=402.4 final_energy_ev_per_atom=-4.20 n_ef_per_ev_atom=1.94 relative_energy_mev_per_atom=253 vol_a3_per_atom=32.59 pbc="T T T"
Dy -3.186 4.814 3.750
Dy 0.164 0.691 6.506
Dy 1.968 4.789 6.879
Dy -1.639 1.764 2.534
Dy 1.863 1.728 2.483
Dy -3.186 1.846 5.816
Dy -1.534 4.824 6.930
Dy 0.164 5.861 2.907
Ho -1.593 4.273 0.576
Ho 3.351 -0.054 -0.077
Ho -1.593 -0.943 4.207
Ho 0.000 0.000 0.000
Tb 1.758 4.219 0.499
Tb 1.758 -0.997 4.130
Tb 0.164 3.276 4.706